No. 1
The following is a PBE-GGA calculation of a relaxed TmInPd crystal, from Alexandria.

Final energy = -14.4 eV/cell
Energy of formation from the pure elements = -672.8 meV per atom

Geometry as POSCAR:
```
TmInPd
1.0
4.686 0.000 0.000
-2.343 4.058 0.000
0.000 0.000 3.474
Tm In Pd
1 1 1
Cartesian
0.000 0.000 0.000
0.000 2.705 1.737
2.343 1.353 1.737
```

---

No. 2
The following is a PBE-GGA calculation of a relaxed Tm12In6Pd crystal, from Alexandria.

Final energy = -79.9 eV/cell
Energy of formation from the pure elements = -243.4 meV per atom

Geometry as POSCAR:
```
Tm12In6Pd
1.0
5.613 3.241 4.642
-5.613 3.241 4.642
0.000 -6.482 4.642
Tm In Pd
12 6 1
Cartesian
-5.110 1.182 5.926
-3.579 -3.834 8.000
-1.871 -0.357 4.510
1.531 -5.016 5.926
1.244 -1.442 4.510
0.626 1.798 4.510
-0.626 -1.798 9.416
-1.244 1.442 9.416
-1.531 5.016 8.000
1.871 0.357 9.416
3.579 3.834 5.926
5.110 -1.182 8.000
-0.906 -2.934 6.360
-2.994 -0.682 7.566
-2.088 2.252 6.360
2.088 -2.252 7.566
2.994 0.682 6.360
0.906 2.934 7.566
0.000 0.000 6.963
```

---

No. 3
The following is a PBE-GGA calculation of a relaxed TmIn2Pd crystal, from Alexandria.

Final energy = -17.1 eV/cell
Energy of formation from the pure elements = -486.7 meV per atom

Geometry as POSCAR:
```
TmIn2Pd
1.0
4.319 0.000 0.000
0.000 4.319 0.000
0.000 0.000 4.684
Tm In Pd
1 2 1
Cartesian
0.000 0.000 0.000
0.000 2.160 2.342
2.160 0.000 2.342
2.160 2.160 0.000
```

---

No. 4
The following is a PBE-GGA calculation of a relaxed TmIn2Pd crystal, from Alexandria.

Final energy = -17.1 eV/cell
Energy of formation from the pure elements = -480.0 meV per atom

Geometry as POSCAR:
```
TmIn2Pd
1.0
3.408 0.000 0.000
0.000 3.408 0.000
0.000 0.000 7.445
Tm In Pd
1 2 1
Cartesian
0.000 0.000 0.000
1.704 1.704 2.151
1.704 1.704 5.294
0.000 0.000 3.723
```

---

No. 5
The following is a PBE-GGA calculation of a relaxed TmIn2Pd crystal, from Alexandria.

Final energy = -16.9 eV/cell
Energy of formation from the pure elements = -439.2 meV per atom

Geometry as POSCAR:
```
TmIn2Pd
1.0
2.303 1.329 4.917
-2.303 1.329 4.917
0.000 -2.659 4.917
Tm In Pd
1 2 1
Cartesian
0.000 0.000 0.000
0.000 0.000 3.338
0.000 0.000 11.415
0.000 0.000 7.376
```

---

No. 6
The following is a PBE-GGA calculation of a relaxed TmInPd6 crystal, from Alexandria.

Final energy = -41.3 eV/cell
Energy of formation from the pure elements = -362.2 meV per atom
Distance to the lowest polymorph of the same formula = 314 meV per atom

Geometry as POSCAR:
```
TmInPd6
1.0
4.107 -2.710 0.000
4.107 2.710 0.000
-2.278 0.000 6.918
Tm In Pd
1 1 6
Cartesian
0.000 0.000 0.000
2.968 0.000 3.459
1.998 1.405 1.390
0.161 0.000 3.002
3.938 1.405 5.528
1.998 -1.405 1.390
5.776 0.000 3.916
3.938 -1.405 5.528
```

---

No. 7
The following is a PBE-GGA calculation of a relaxed Tm2InPd9 crystal, from Alexandria.

Final energy = -67.5 eV/cell
Energy of formation from the pure elements = -754.9 meV per atom

Geometry as POSCAR:
```
Tm2InPd9
1.0
4.084 0.000 0.000
0.000 4.084 0.000
0.000 0.000 12.191
Tm In Pd
2 1 9
Cartesian
0.000 0.000 2.066
0.000 0.000 10.125
0.000 0.000 6.095
0.000 2.042 0.000
0.000 2.042 4.105
0.000 2.042 8.086
2.042 0.000 0.000
2.042 0.000 4.105
2.042 0.000 8.086
2.042 2.042 2.045
2.042 2.042 6.095
2.042 2.042 10.146
```

---

No. 8
The following is a PBE-GGA calculation of a relaxed TmIn3Pd4 crystal, from Alexandria.

Final energy = -38.7 eV/cell
Energy of formation from the pure elements = -661.4 meV per atom

Geometry as POSCAR:
```
TmIn3Pd4
1.0
4.673 0.000 0.000
0.000 4.673 0.000
0.000 0.000 6.805
Tm In Pd
1 3 4
Cartesian
0.000 0.000 0.000
0.000 0.000 3.402
2.336 2.336 0.000
2.336 2.336 3.402
0.000 2.336 1.760
0.000 2.336 5.044
2.336 0.000 1.760
2.336 0.000 5.044
```

---

No. 9
The following is a PBE-GGA calculation of a relaxed Tm2InPd2 crystal, from Alexandria.

Final energy = -53.0 eV/cell
Energy of formation from the pure elements = -887.1 meV per atom

Geometry as POSCAR:
```
Tm2InPd2
1.0
7.758 0.000 0.000
0.000 7.758 0.000
0.000 0.000 3.574
Tm In Pd
4 2 4
Cartesian
1.322 2.557 0.000
2.557 6.436 0.000
5.202 1.322 0.000
6.436 5.202 0.000
0.000 0.000 1.787
3.879 3.879 1.787
0.999 4.879 1.787
2.880 0.999 1.787
4.879 6.759 1.787
6.759 2.880 1.787
```

---

No. 10
The following is a PBE-GGA calculation of a relaxed Tm8In2Pd crystal, from Alexandria.

Final energy = -49.8 eV/cell
Energy of formation from the pure elements = -304.7 meV per atom

Geometry as POSCAR:
```
Tm8In2Pd
1.0
9.193 -2.515 0.000
9.193 2.515 0.000
-1.244 0.000 6.525
Tm In Pd
8 2 1
Cartesian
-0.029 0.000 1.755
2.823 0.000 5.284
5.850 0.000 3.354
7.464 0.000 0.224
9.677 0.000 6.301
11.292 0.000 3.172
14.319 0.000 1.241
17.171 0.000 4.771
3.136 0.000 1.686
14.006 0.000 4.839
8.571 0.000 3.263
```

---

No. 11
The following is a PBE-GGA calculation of a relaxed Tm5In4Pd crystal, from Alexandria.

Final energy = -44.0 eV/cell
Energy of formation from the pure elements = -547.6 meV per atom

Geometry as POSCAR:
```
Tm5In4Pd
1.0
3.489 0.000 0.000
0.000 3.489 0.000
0.000 0.000 20.288
Tm In Pd
5 4 1
Cartesian
0.000 0.000 0.000
0.000 0.000 4.231
0.000 0.000 8.465
0.000 0.000 11.824
0.000 0.000 16.057
1.745 1.745 2.116
1.745 1.745 6.327
1.745 1.745 13.961
1.745 1.745 18.172
1.745 1.745 10.144
```

---

No. 12
The following is a PBE-GGA calculation of a relaxed Tm5In4Pd2 crystal, from Alexandria.

Final energy = -102.6 eV/cell
Energy of formation from the pure elements = -689.0 meV per atom

Geometry as POSCAR:
```
Tm5In4Pd2
1.0
8.010 0.000 0.000
0.000 18.075 0.000
0.000 0.000 3.609
Tm In Pd
10 8 4
Cartesian
0.000 0.000 0.000
0.940 7.529 0.000
1.959 3.961 0.000
2.047 12.999 0.000
3.065 16.566 0.000
4.005 9.038 0.000
4.946 1.509 0.000
5.964 5.076 0.000
6.052 14.114 0.000
7.070 10.546 0.000
0.616 15.384 1.804
1.672 10.252 1.804
2.333 1.214 1.804
3.389 6.346 1.804
4.621 11.729 1.804
5.677 16.861 1.804
6.338 7.824 1.804
7.394 2.692 1.804
0.233 5.496 1.804
3.772 14.533 1.804
4.239 3.542 1.804
7.777 12.580 1.804
```